## Li2TiNi2O6 (GGA+U)

Data for crystalline Li2TiNi2O6 at its relaxed geometry.

Lattice parameters (Å, degrees): 7.810 7.810 5.928 101.69 101.69 67.85
Sites, in units of the cell vectors:
Li  0.154  0.495  0.667
Li  0.180  0.820  0.000
Li  0.495  0.154  0.667
Li  0.505  0.846  0.333
Li  0.820  0.180  0.000
Li  0.846  0.505  0.333
Ti  0.171  0.829  0.500
Ti  0.500  0.500  0.500
Ti  0.829  0.171  0.500
Ni  0.164  0.164  0.841
Ni  0.167  0.494  0.162
Ni  0.494  0.167  0.162
Ni  0.506  0.833  0.838
Ni  0.833  0.506  0.838
Ni  0.836  0.836  0.159
O  0.012  0.012  0.736
O  0.016  0.653  0.948
O  0.020  0.665  0.395
O  0.312  0.312  0.929
O  0.327  0.660  0.718
O  0.335  0.980  0.605
O  0.340  0.673  0.282
O  0.341  0.341  0.387
O  0.347  0.984  0.052
O  0.653  0.016  0.948
O  0.659  0.659  0.613
O  0.660  0.327  0.718
O  0.665  0.020  0.395
O  0.673  0.340  0.282
O  0.688  0.688  0.071
O  0.980  0.335  0.605
O  0.984  0.347  0.052
O  0.988  0.988  0.264

Properties
Energy: -5.954 eV/atom
Space-group type: C2/m (12)
Total moment: 6.0 μB/cell